VASP calculation (GGA-PBEsol) on a relaxed ZrAsSe2N crystal.

Cell and atoms, written as CIF:
```
data_ZrAsSe2N
_symmetry_space_group_name_H-M 'P 4/m m m'
_symmetry_Int_Tables_number 123
_symmetry_space_group_name_Hall '-P 4 2'
_cell_length_a 5.026
_cell_length_b 5.026
_cell_length_c 3.604
_cell_angle_alpha 90.00
_cell_angle_beta 90.00
_cell_angle_gamma 90.00
loop_
_atom_site_label
_atom_site_type_symbol
_atom_site_fract_x
_atom_site_fract_y
_atom_site_fract_z
_atom_site_occupancy
Zr1 Zr 0.000 0.000 0.000 1
As1 As 0.500 0.500 0.500 1
Se1 Se 0.000 0.500 0.500 1
N1 N 0.500 0.500 0.000 1
```

Output
Fermi-level density of states = 0.68 states/eV per atom
E_form (uncorrected) = 0.314 eV/atom
Uncorrected energy = -28.9 eV for the cell shown

---

VASP calculation (GGA-PBEsol) on a relaxed Si2AsN crystal.

Cell and atoms, written as CIF:
```
data_Si2AsN
_symmetry_space_group_name_H-M 'I -4 2 d'
_symmetry_Int_Tables_number 122
_symmetry_space_group_name_Hall 'I -4 2bw'
_cell_length_a 4.577
_cell_length_b 4.577
_cell_length_c 11.087
_cell_angle_alpha 90.00
_cell_angle_beta 90.00
_cell_angle_gamma 90.00
loop_
_atom_site_label
_atom_site_type_symbol
_atom_site_fract_x
_atom_site_fract_y
_atom_site_fract_z
_atom_site_occupancy
Si1 Si 0.143 0.250 0.125 1
As1 As 0.000 0.000 0.500 1
N1 N 0.000 0.000 0.000 1
```

Output
Fermi-level density of states = 0.34 states/eV per atom
E_form (uncorrected) = 0.073 eV/atom
Uncorrected energy = -99.3 eV for the cell shown

---

VASP calculation (GGA-PBEsol) on a relaxed SiAs2N crystal.

Cell and atoms, written as CIF:
```
data_SiAs2N
_symmetry_space_group_name_H-M 'F m -3 m'
_symmetry_Int_Tables_number 225
_symmetry_space_group_name_Hall '-F 4 2 3'
_cell_length_a 6.060
_cell_length_b 6.060
_cell_length_c 6.060
_cell_angle_alpha 90.00
_cell_angle_beta 90.00
_cell_angle_gamma 90.00
loop_
_atom_site_label
_atom_site_type_symbol
_atom_site_fract_x
_atom_site_fract_y
_atom_site_fract_z
_atom_site_occupancy
Si1 Si 0.000 0.000 0.000 1
As1 As 0.250 0.250 0.250 1
N1 N 0.000 0.000 0.500 1
```

Output
Fermi-level density of states = 0.57 states/eV per atom
E_form (uncorrected) = 1.082 eV/atom
Uncorrected energy = -80.6 eV for the cell shown

---

VASP calculation (GGA-PBEsol) on a relaxed Sr3AsN crystal.

Cell and atoms, written as CIF:
```
data_Sr3AsN
_symmetry_space_group_name_H-M 'P m -3 m'
_symmetry_Int_Tables_number 221
_symmetry_space_group_name_Hall '-P 4 2 3'
_cell_length_a 5.052
_cell_length_b 5.052
_cell_length_c 5.052
_cell_angle_alpha 90.00
_cell_angle_beta 90.00
_cell_angle_gamma 90.00
loop_
_atom_site_label
_atom_site_type_symbol
_atom_site_fract_x
_atom_site_fract_y
_atom_site_fract_z
_atom_site_occupancy
Sr1 Sr 0.000 0.000 0.500 1
As1 As 0.500 0.500 0.500 1
N1 N 0.000 0.000 0.000 1
```

Output
E_form (uncorrected) = -0.936 eV/atom
Uncorrected energy = -23.8 eV for the cell shown